# 1
Al2CrB2Mo, relaxed, DFT PBEsol; uncorrected energy = -7.802 eV/atom; ΔE_f = -0.43 eV/atom; SG = Amm2 (38); DOS(E_F) = 0.281 states/eV per atom; ρ = 5.72 g/cm³
1.0
3.0269 0.0000 0.0000
0.0000 3.0905 0.0000
0.0000 0.0000 13.8628
Al Cr B Mo
4 2 4 2
Direct
0.0000 0.0000 0.0000
0.0000 0.5000 0.5000
0.5000 0.0000 0.3910
0.5000 0.5000 0.8910
0.0000 0.0000 0.7856
0.0000 0.5000 0.2856
0.0000 0.0000 0.1703
0.0000 0.5000 0.6703
0.5000 0.0000 0.2352
0.5000 0.5000 0.7352
0.5000 0.0000 0.6122
0.5000 0.5000 0.1122

# 2
YTiCo2Cu, relaxed, DFT PBEsol; uncorrected energy = -5.151 eV/atom; ΔE_f = 1.84 eV/atom; SG = P4/mmm (123); DOS(E_F) = 1.358 states/eV per atom; ρ = 5.70 g/cm³
1.0
4.4183 0.0000 0.0000
0.0000 4.4183 0.0000
0.0000 0.0000 4.7451
Y Ti Co Cu
1 1 2 1
Direct
0.0000 0.0000 0.0000
0.0000 0.0000 0.5000
0.0000 0.5000 0.0000
0.5000 0.0000 0.0000
0.5000 0.5000 0.5000

# 3
ScS2NCl, relaxed, DFT PBEsol; uncorrected energy = -5.155 eV/atom; SG = P4/mmm (123); DOS(E_F) = 0.379 states/eV per atom; ρ = 3.57 g/cm³
1.0
4.3032 0.0000 0.0000
0.0000 4.3032 0.0000
0.0000 0.0000 3.9878
Sc S N Cl
1 2 1 1
Direct
0.0000 0.0000 0.0000
0.0000 0.5000 0.5000
0.5000 0.0000 0.5000
0.5000 0.5000 0.5000
0.5000 0.5000 0.0000

# 4
ThCdHg2, relaxed, DFT PBEsol; uncorrected energy = -2.934 eV/atom; ΔE_f = -0.32 eV/atom; SG = Fm-3m (225); DOS(E_F) = 0.470 states/eV per atom; ρ = 13.10 g/cm³
1.0
7.2316 0.0000 0.0000
0.0000 7.2316 0.0000
0.0000 0.0000 7.2316
Th Cd Hg
4 4 8
Direct
0.0000 0.0000 0.0000
0.0000 0.5000 0.5000
0.5000 0.0000 0.5000
0.5000 0.5000 0.0000
0.0000 0.0000 0.5000
0.0000 0.5000 0.0000
0.5000 0.0000 0.0000
0.5000 0.5000 0.5000
0.2500 0.2500 0.2500
0.2500 0.2500 0.7500
0.2500 0.7500 0.2500
0.2500 0.7500 0.7500
0.7500 0.2500 0.2500
0.7500 0.2500 0.7500
0.7500 0.7500 0.2500
0.7500 0.7500 0.7500

# 5
YMgCd2, relaxed, DFT PBEsol; uncorrected energy = -2.903 eV/atom; ΔE_f = -0.17 eV/atom; SG = Imm2 (44); DOS(E_F) = 0.631 states/eV per atom; ρ = 5.95 g/cm³
1.0
3.6310 0.0000 0.0000
0.0000 5.1073 0.0000
0.0000 0.0000 10.1674
Y Mg Cd
2 2 4
Direct
0.0000 0.0000 0.0000
0.5000 0.5000 0.5000
0.0000 0.5000 0.2257
0.5000 0.0000 0.7257
0.0000 0.0000 0.4835
0.0000 0.5000 0.7573
0.5000 0.0000 0.2573
0.5000 0.5000 0.9835

# 6
In2SeBr, relaxed, DFT PBEsol; uncorrected energy = -3.201 eV/atom; energy above the lowest structure with this stoichiometry = 0.118 eV per atom; SG = I-4m2 (119); DOS(E_F) = 0.289 states/eV per atom; ρ = 5.97 g/cm³
1.0
4.1669 0.0000 0.0000
0.0000 4.1669 0.0000
0.0000 0.0000 12.4406
In Se Br
4 2 2
Direct
0.0000 0.0000 0.0000
0.0000 0.5000 0.2500
0.5000 0.0000 0.7500
0.5000 0.5000 0.5000
0.0000 0.5000 0.7500
0.5000 0.0000 0.2500
0.0000 0.0000 0.5000
0.5000 0.5000 0.0000

# 7
MgHg2As2, relaxed, DFT PBEsol; uncorrected energy = -2.543 eV/atom; ΔE_f = 0.07 eV/atom; SG = I4/mmm (139); DOS(E_F) = 0.385 states/eV per atom; ρ = 8.50 g/cm³
1.0
3.6394 0.0000 0.0000
0.0000 3.6394 0.0000
0.0000 0.0000 16.9700
Mg Hg As
2 4 4
Direct
0.0000 0.0000 0.0000
0.5000 0.5000 0.5000
0.0000 0.0000 0.4038
0.0000 0.0000 0.5962
0.5000 0.5000 0.0962
0.5000 0.5000 0.9038
0.0000 0.5000 0.2500
0.0000 0.5000 0.7500
0.5000 0.0000 0.2500
0.5000 0.0000 0.7500

# 8
ZrNiAg, relaxed, DFT PBEsol; uncorrected energy = -6.151 eV/atom; ΔE_f = 0.04 eV/atom; SG = F-43m (216); DOS(E_F) = 0.942 states/eV per atom; ρ = 7.92 g/cm³
1.0
6.0015 0.0000 0.0000
0.0000 6.0015 0.0000
0.0000 0.0000 6.0015
Zr Ni Ag
4 4 4
Direct
0.0000 0.0000 0.0000
0.0000 0.5000 0.5000
0.5000 0.0000 0.5000
0.5000 0.5000 0.0000
0.2500 0.2500 0.7500
0.2500 0.7500 0.2500
0.7500 0.2500 0.2500
0.7500 0.7500 0.7500
0.0000 0.0000 0.5000
0.0000 0.5000 0.0000
0.5000 0.0000 0.0000
0.5000 0.5000 0.5000

# 9
TcMoRh2, relaxed, DFT PBEsol; uncorrected energy = -9.880 eV/atom; energy above the lowest structure with this stoichiometry = 0.178 eV per atom; ΔE_f = -0.05 eV/atom; SG = C2/m (12); DOS(E_F) = 1.087 states/eV per atom; ρ = 11.88 g/cm³
1.0
9.0223 0.0000 0.0000
0.0000 2.7041 0.0000
-0.8151 0.0000 4.5795
Tc Mo Rh
2 2 4
Direct
0.0000 0.0000 0.0000
0.5000 0.5000 0.0000
0.0000 0.5000 0.5000
0.5000 0.0000 0.5000
0.2485 0.5000 0.2475
0.2515 0.0000 0.7525
0.7485 0.0000 0.2475
0.7515 0.5000 0.7525

# 10
K3TiBi, relaxed, DFT PBEsol; uncorrected energy = -2.170 eV/atom; ΔE_f = 1.03 eV/atom; SG = Pm-3m (221); DOS(E_F) = 1.220 states/eV per atom; ρ = 2.83 g/cm³
1.0
6.0313 0.0000 0.0000
0.0000 6.0313 0.0000
0.0000 0.0000 6.0313
K Ti Bi
3 1 1
Direct
0.0000 0.0000 0.5000
0.0000 0.5000 0.0000
0.5000 0.0000 0.0000
0.0000 0.0000 0.0000
0.5000 0.5000 0.5000

# 11
BeNi2Pt, relaxed, DFT PBEsol; uncorrected energy = -6.120 eV/atom; ΔE_f = -0.30 eV/atom; SG = Immm (71); DOS(E_F) = 1.346 states/eV per atom; ρ = 12.41 g/cm³
1.0
2.6950 0.0000 0.0000
0.0000 3.9426 0.0000
0.0000 0.0000 8.0966
Be Ni Pt
2 4 2
Direct
0.0000 0.0000 0.0000
0.5000 0.5000 0.5000
0.0000 0.5000 0.2773
0.0000 0.5000 0.7227
0.5000 0.0000 0.2227
0.5000 0.0000 0.7773
0.0000 0.0000 0.5000
0.5000 0.5000 0.0000

# 12
MgZnNO2, relaxed, DFT PBEsol; uncorrected energy = -4.563 eV/atom; SG = P4/mmm (123); DOS(E_F) = 0.376 states/eV per atom; ρ = 4.04 g/cm³
1.0
3.8838 0.0000 0.0000
0.0000 3.8838 0.0000
0.0000 0.0000 3.6972
Mg Zn N O
1 1 1 2
Direct
0.0000 0.0000 0.0000
0.5000 0.5000 0.5000
0.5000 0.5000 0.0000
0.0000 0.5000 0.5000
0.5000 0.0000 0.5000